DFT (PBE-GGA) results for a relaxed Sc3Fe crystal.

Output
Total DFT energy (no corrections) = -6.7387 eV/atom
ΔH_f (0 K) = 126 meV per atom
Calculated density = 4.0 g cm⁻³

Lattice parameters (Å, degrees): 3.293 4.051 6.140 90.00 105.12 90.00
Space group P2/m (No. 10)
Unique sites:
Sc 0.000 0.000 0.000
Sc 0.385 0.500 0.714
Fe 0.000 0.000 0.500


DFT (PBE-GGA) results for a relaxed Sc3Fe2 crystal.

Output
E above lowest polymorph = 0 meV/atom
Total DFT energy (no corrections) = -7.1123 eV/atom
ΔH_f (0 K) = 72 meV per atom
Calculated density = 4.4 g cm⁻³

Lattice parameters (Å, degrees): 4.5126 4.5126 5.2311 90.00 90.00 120.00
Space group P-3m1 (No. 164)
Unique sites:
Sc 0.0000 0.0000 0.0000
Sc 0.3333 0.6667 0.3512
Fe 0.3333 0.6667 0.8790